# Pu2NiHgO8, optimized geometry, DFT PBE with a Hubbard U
# - E_tot: -7.206 eV/atom
# - Total magnetization: 8.04 μB/f.u.
data_Pu2NiHgO8
_chemical_formula_sum 'Pu4 Ni2 Hg2 O16'
_cell_length_a 6.3088
_cell_length_b 6.3088
_cell_length_c 9.7530
_cell_angle_alpha 90.00
_cell_angle_beta 90.00
_cell_angle_gamma 90.00
_symmetry_space_group_name_H-M 'I -4 m 2'
_symmetry_Int_Tables_number 119
_symmetry_space_group_name_Hall 'I -4 -2'
loop_
_atom_site_label
_atom_site_fract_x
_atom_site_fract_y
_atom_site_fract_z
Pu1 0.0000 0.0000 0.0000
Pu2 0.0000 0.5000 0.2500
Ni1 0.0000 0.0000 0.5000
Hg1 0.0000 0.5000 0.7500
O1 0.0000 0.2047 0.8541
O2 0.0000 0.2517 0.3914